Record 1
The following is a DFT calculation (GGA-PBE) of an optimized crystal structure of MoPd2Br.

Structure (POSCAR):
```
MoPd2Br
1.0
-3.6559 1.2128 2.5762
-4.1739 0.4424 -1.9638
-3.3264 -3.0967 0.9050
Br Pd Mo
1 2 1
Cartesian
0.0000 0.0000 0.0000
-8.3671 -1.0811 1.1380
-2.7890 -0.3604 0.3793
-5.5781 -0.7208 0.7587
```

Size of the total moment = 2.3 Bohr magnetons per cell
Space-group type = Fm-3m, No. 225
Energy relative to the lowest polymorph listed for this composition = 0.0 kJ per mole of atoms

Record 2
The following is a DFT calculation (GGA-PBE) of an optimized crystal structure of MoPd3Br.

Structure (POSCAR):
```
MoPd3Br
1.0
-0.3521 -4.4777 1.8717
3.1084 -1.6493 -3.3608
3.7271 0.9524 2.9797
Pd Br Mo
3 1 1
Cartesian
1.5542 -0.8246 -1.6804
1.8635 0.4762 1.4899
-0.1761 -2.2388 0.9358
3.2416 -2.5873 0.7453
0.0000 0.0000 0.0000
```

DFT total energy = -4.547 eV per atom
Size of the total moment = 0.0 Bohr magnetons per cell
Space-group type = Pm-3m, No. 221

Record 3
The following is a DFT calculation (GGA-PBE) of an optimized crystal structure of MoPd2Br.

Structure (POSCAR):
```
MoPd2Br
1.0
-0.0524 -2.2458 -6.2149
1.3475 -6.0881 2.1886
-3.3821 -4.9455 -1.6979
Pd Mo Br
4 2 2
Cartesian
-0.0087 -5.2716 0.3066
-2.0813 -6.6971 -2.8326
-0.7110 -3.4516 -4.1753
-1.3730 -11.1385 -4.7471
-1.3935 -5.6791 -4.9629
0.0000 0.0000 0.0000
-0.6935 -7.6003 -0.7612
0.6475 -4.1670 -2.0131
```

Size of the total moment = 1.5 Bohr magnetons per cell
Space-group type = I-42d, No. 122
Energy relative to the lowest polymorph listed for this composition = 4.2 kJ per mole of atoms

Record 4
The following is a DFT calculation (GGA-PBE) of an optimized crystal structure of MoPd3Br.

Structure (POSCAR):
```
MoPd3Br
1.0
4.7297 0.0000 0.0000
0.0000 4.7297 0.0000
0.0000 0.0000 4.7297
Br Pd Mo
1 3 1
Cartesian
0.0000 0.0000 0.0000
0.0000 2.3648 0.0000
0.0000 0.0000 2.3648
2.3648 0.0000 0.0000
2.3648 2.3648 2.3648
```

DFT total energy = -4.547 eV per atom
Size of the total moment = 4.8 Bohr magnetons per cell
Space-group type = Pm-3m, No. 221

Record 5
The following is a DFT calculation (GGA-PBE) of an optimized crystal structure of MoPdRhBr2.

Structure (POSCAR):
```
MoPdRhBr2
1.0
-2.7440 -3.5417 2.0079
2.2696 -3.3833 -2.8661
3.4016 -0.6639 3.4775
Mo Br Rh Pd
1 2 1 1
Cartesian
0.0000 0.0000 0.0000
-1.3720 -1.7708 1.0040
1.7008 -0.3320 1.7387
1.4636 -3.7945 1.3097
1.1348 -1.6917 -1.4330
```

DFT total energy = -4.246 eV per atom
Size of the total moment = 2.1 Bohr magnetons per cell
Space-group type = P4/mmm, No. 123

Record 6
The following is a DFT calculation (GGA-PBE) of an optimized crystal structure of MoPdSe2Br.

Structure (POSCAR):
```
MoPdSe2Br
1.0
4.8543 0.0000 0.0000
0.0000 4.8543 0.0000
0.0000 0.0000 5.2720
Br Se Pd Mo
1 2 1 1
Cartesian
0.0000 0.0000 2.6360
2.4271 0.0000 0.0000
0.0000 2.4271 0.0000
2.4271 2.4271 2.6360
0.0000 0.0000 0.0000
```

Size of the total moment = 0.2 Bohr magnetons per cell
Space-group type = P4/mmm, No. 123
Energy relative to the lowest polymorph listed for this composition = 0.0 kJ per mole of atoms

Record 7
The following is a DFT calculation (GGA-PBE) of an optimized crystal structure of SrMoPdBr2.

Structure (POSCAR):
```
SrMoPdBr2
1.0
4.8621 0.0000 0.0000
0.0000 6.7452 0.0000
0.0000 0.0000 4.8621
Sr Br Mo Pd
1 2 1 1
Cartesian
0.0000 3.3726 0.0000
0.0000 0.0000 2.4310
2.4310 0.0000 0.0000
0.0000 0.0000 0.0000
2.4310 3.3726 2.4310
```

DFT total energy = -3.828 eV per atom
Size of the total moment = 0.7 Bohr magnetons per cell
Space-group type = P4/mmm, No. 123

Record 8
The following is a DFT calculation (GGA-PBE) of an optimized crystal structure of TcMoPdBr2.

Structure (POSCAR):
```
TcMoPdBr2
1.0
-3.1844 2.7257 2.6354
-3.7455 -1.3620 -3.1171
-0.9698 -3.9127 2.8750
Tc Mo Br Pd
1 1 2 1
Cartesian
0.0000 0.0000 0.0000
-3.9499 -1.2745 1.1966
-0.4849 -1.9564 1.4375
-1.5922 1.3628 1.3177
-1.8728 -0.6810 -1.5586
```

DFT total energy = -4.692 eV per atom
Size of the total moment = 6.8 Bohr magnetons per cell
Space-group type = P4/mmm, No. 123

Record 9
The following is a DFT calculation (GGA-PBE) of an optimized crystal structure of ZrMoPdBr2.

Structure (POSCAR):
```
ZrMoPdBr2
1.0
4.9699 0.0000 0.0000
0.0000 5.3373 0.0000
0.0000 0.0000 4.9699
Mo Br Zr Pd
1 2 1 1
Cartesian
2.4849 2.6687 2.4849
2.4849 0.0000 0.0000
0.0000 0.0000 2.4849
0.0000 2.6687 0.0000
0.0000 0.0000 0.0000
```

DFT total energy = -4.565 eV per atom
Size of the total moment = 3.4 Bohr magnetons per cell
Space-group type = P4/mmm, No. 123

Record 10
The following is a DFT calculation (GGA-PBE) of an optimized crystal structure of Pm4MoBr5.

Structure (POSCAR):
```
Pm4MoBr5
1.0
-2.5524 -1.6814 -2.5448
6.3210 0.8879 -6.9266
2.9626 -7.6491 5.1903
Pm Br Mo
4 5 1
Cartesian
7.0249 -5.2364 -3.5862
-0.2938 -3.2061 -0.6949
5.2299 -8.6136 -2.6623
1.5013 0.1711 -1.6188
4.1125 -5.8836 -3.3453
1.8843 -0.3967 -4.7357
5.9654 -2.1037 -4.5933
2.6187 -2.5589 -0.9358
0.7657 -6.3388 0.3122
-1.2762 -0.8407 -1.2724
```

DFT total energy = -4.989 eV per atom
Size of the total moment = 0.0 Bohr magnetons per cell
Space-group type = C2/m, No. 12

Record 11
The following is a DFT calculation (GGA-PBE) of an optimized crystal structure of Mo2PtBr.

Structure (POSCAR):
```
Mo2PtBr
1.0
4.4480 0.0000 0.0000
0.0000 2.8360 0.0011
0.0000 1.4152 5.2839
Br Pt Mo
1 1 2
Cartesian
2.2240 3.7202 4.0377
0.0000 2.3030 2.5358
0.0000 3.7191 5.1783
2.2240 0.8857 1.4605
```

Size of the total moment = 0.0 Bohr magnetons per cell
Space-group type = Amm2, No. 38
Energy relative to the lowest polymorph listed for this composition = 21.4 kJ per mole of atoms

Record 12
The following is a DFT calculation (GGA-PBE) of an optimized crystal structure of Mo2PtBr.

Structure (POSCAR):
```
Mo2PtBr
1.0
-0.2638 2.9022 0.1364
-1.7803 -1.0889 -2.0385
-6.6100 -0.8947 6.2507
Mo Br Pt
2 1 1
Cartesian
-0.1525 -0.0206 0.1442
-2.5884 0.6946 0.5302
-6.1625 0.2109 3.9100
-3.0557 -0.4136 2.8896
```

Size of the total moment = 0.0 Bohr magnetons per cell
Space-group type = Cmm2, No. 35
Energy relative to the lowest polymorph listed for this composition = 11.5 kJ per mole of atoms

Record 13
The following is a DFT calculation (GGA-PBE) of an optimized crystal structure of MoPtBr2.

Structure (POSCAR):
```
MoPtBr2
1.0
4.9606 -0.0069 0.0337
3.8288 3.1539 0.0337
2.3938 0.8571 6.9760
Br Mo Pt
2 1 1
Cartesian
8.9249 3.1956 0.7987
8.9137 3.1915 4.5634
5.1679 1.8504 2.6497
2.5576 0.9158 2.6205
```

Size of the total moment = 0.3 Bohr magnetons per cell
Space-group type = Cm, No. 8
Energy relative to the lowest polymorph listed for this composition = 13.2 kJ per mole of atoms

Record 14
The following is a DFT calculation (GGA-PBE) of an optimized crystal structure of MoPt4Br.

Structure (POSCAR):
```
MoPt4Br
1.0
-4.8436 -0.4309 -2.1821
-4.1109 2.6737 2.0879
-2.1120 4.1233 -2.6355
Pt Mo Br
4 1 1
Cartesian
-5.2046 4.4540 -2.3453
-4.1445 2.3842 -1.0223
-6.5759 2.1679 -2.1176
-6.2081 3.7263 0.0258
0.0000 0.0000 0.0000
-8.2999 4.7746 -2.0473
```

DFT total energy = -5.589 eV per atom
Size of the total moment = 2.3 Bohr magnetons per cell
Space-group type = F-43m, No. 216

Record 15
The following is a DFT calculation (GGA-PBE) of an optimized crystal structure of MoPtBr2.

Structure (POSCAR):
```
MoPtBr2
1.0
-1.6469 -4.2137 -2.9855
5.4037 -0.2655 0.3328
1.6217 -3.9897 1.3013
Mo Pt Br
1 1 2
Cartesian
-0.0126 -4.1017 -0.8421
3.5127 -2.1276 0.8170
0.0000 0.0000 0.0000
1.8784 -2.2396 -1.3264
```

Size of the total moment = 3.6 Bohr magnetons per cell
Space-group type = C2/m, No. 12
Energy relative to the lowest polymorph listed for this composition = 68.2 kJ per mole of atoms

Record 16
The following is a DFT calculation (GGA-PBE) of an optimized crystal structure of MoPtBr2.

Structure (POSCAR):
```
MoPtBr2
1.0
3.2328 0.0033 0.0000
-1.7958 2.6882 0.0000
0.0000 0.0000 9.1816
Br Mo Pt
2 1 1
Cartesian
0.0000 0.0000 0.2013
0.0000 0.0000 4.3895
0.7185 1.3458 2.2954
0.7185 1.3458 6.8862
```

Size of the total moment = 1.2 Bohr magnetons per cell
Space-group type = Cmmm, No. 65
Energy relative to the lowest polymorph listed for this composition = 67.1 kJ per mole of atoms

Record 17
The following is a DFT calculation (GGA-PBE) of an optimized crystal structure of MoPtBr2.

Structure (POSCAR):
```
MoPtBr2
1.0
6.7967 0.0273 0.0040
4.3983 5.1818 -0.0040
-5.0947 -3.6852 2.5806
Mo Br Pt
1 2 1
Cartesian
5.6649 2.6359 0.0000
10.9856 5.1117 0.0000
2.8721 -0.8885 1.2923
3.3703 2.4785 1.2883
```

Size of the total moment = 1.4 Bohr magnetons per cell
Space-group type = Imm2, No. 44
Energy relative to the lowest polymorph listed for this composition = 46.8 kJ per mole of atoms

Record 18
The following is a DFT calculation (GGA-PBE) of an optimized crystal structure of Mo2PtBr.

Structure (POSCAR):
```
Mo2PtBr
1.0
-2.1323 -2.0808 4.4101
-3.5187 -3.4073 2.0821
2.3748 -4.0844 0.9130
Pt Br Mo
1 1 2
Cartesian
-2.0082 -4.5868 3.8094
-2.3773 -7.2566 5.5504
-0.7835 -2.7689 2.0442
-3.0214 -9.3190 7.1091
```

Size of the total moment = 0.0 Bohr magnetons per cell
Space-group type = Cm, No. 8
Energy relative to the lowest polymorph listed for this composition = 17.8 kJ per mole of atoms

Record 19
The following is a DFT calculation (GGA-PBE) of an optimized crystal structure of MoPtBr.

Structure (POSCAR):
```
MoPtBr
1.0
-2.8457 -1.4311 -2.9937
-3.9133 -1.4985 1.2447
-3.6047 2.3142 -0.8711
Br Pt Mo
1 1 1
Cartesian
-5.1819 -0.3077 -1.3101
0.0000 0.0000 0.0000
-7.7728 -0.4615 -1.9651
```

Size of the total moment = 0.0 Bohr magnetons per cell
Space-group type = F-43m, No. 216
Energy relative to the lowest polymorph listed for this composition = 27.0 kJ per mole of atoms

Record 20
The following is a DFT calculation (GGA-PBE) of an optimized crystal structure of MoPtBr2.

Structure (POSCAR):
```
MoPtBr2
1.0
0.0000 3.3109 3.3109
3.3109 0.0000 3.3109
3.3109 3.3109 0.0000
Br Pt Mo
2 1 1
Cartesian
1.6555 1.6555 1.6555
4.9664 4.9664 4.9664
3.3109 3.3109 3.3109
0.0000 0.0000 0.0000
```

Size of the total moment = 0.6 Bohr magnetons per cell
Space-group type = Fm-3m, No. 225
Energy relative to the lowest polymorph listed for this composition = 87.0 kJ per mole of atoms